This record from Alexandria via LeMat-Bulk describes a geometry-optimized NbVB structure. The functional is GGA-PBE.

Cell lengths 3.278, 9.001, 5.015 Å; angles 90.00, 90.00, 90.00 degrees
Atoms (fractional coordinates):
Nb (0.000, 0.700, 0.250)
Nb (0.000, 0.300, 0.750)
Nb (0.500, 0.200, 0.250)
Nb (0.500, 0.800, 0.750)
B (0.000, 0.395, 0.250)
B (0.000, 0.605, 0.750)
B (0.500, 0.895, 0.250)
B (0.500, 0.105, 0.750)
V (0.000, 0.000, 0.000)
V (0.000, 0.000, 0.500)
V (0.500, 0.500, 0.000)
V (0.500, 0.500, 0.500)

Results
As for the calculated volume: 12.33 Å³/atom. Its density of states at the Fermi level is 9.67 states/eV per cell. The excess energy over the best structure of this formula in the dataset comes out at 0.118 eV/atom. The total magnetization comes out at 0.00 Bohr magnetons per cell.

***

This record from Alexandria via LeMat-Bulk describes a geometry-optimized NbVB structure. The functional is GGA-PBE.

Cell lengths 4.544, 3.139, 10.644 Å; angles 90.00, 101.61, 90.00 degrees
Atoms (fractional coordinates):
Nb (0.326, 0.000, 0.135)
Nb (0.674, 0.000, 0.865)
Nb (0.326, 0.500, 0.635)
Nb (0.674, 0.500, 0.365)
B (0.888, 0.000, 0.233)
B (0.112, 0.000, 0.767)
B (0.888, 0.500, 0.733)
B (0.112, 0.500, 0.267)
V (0.213, 0.000, 0.420)
V (0.787, 0.000, 0.580)
V (0.213, 0.500, 0.920)
V (0.787, 0.500, 0.080)

Results
As for the calculated volume: 12.39 Å³/atom. Its density of states at the Fermi level is 7.88 states/eV per cell. The excess energy over the best structure of this formula in the dataset comes out at 0.121 eV/atom. The total magnetization comes out at 0.00 Bohr magnetons per cell.

***

This record from Alexandria via LeMat-Bulk describes a geometry-optimized NbVB structure. The functional is GGA-PBE.

Cell lengths 3.179, 4.138, 6.907 Å; angles 90.00, 62.62, 90.00 degrees
Atoms (fractional coordinates):
B (0.871, 0.250, 0.879)
B (0.129, 0.750, 0.121)
Nb (0.629, 0.250, 0.621)
Nb (0.371, 0.750, 0.379)
V (0.142, 0.250, 0.108)
V (0.858, 0.750, 0.892)

Results
As for the calculated volume: 13.45 Å³/atom. Its density of states at the Fermi level is 4.28 states/eV per cell. The excess energy over the best structure of this formula in the dataset comes out at 0.372 eV/atom. The total magnetization comes out at 0.00 Bohr magnetons per cell.

***

This record from Alexandria via LeMat-Bulk describes a geometry-optimized NbV2B2 structure. The functional is GGA-PBE.

Cell lengths 5.963, 5.963, 3.089 Å; angles 90.00, 90.00, 90.00 degrees
Atoms (fractional coordinates):
Nb (0.000, 0.000, 0.000)
Nb (0.500, 0.500, 0.000)
B (0.394, 0.894, 0.000)
B (0.894, 0.606, 0.000)
B (0.606, 0.106, 0.000)
B (0.106, 0.394, 0.000)
V (0.175, 0.675, 0.500)
V (0.675, 0.825, 0.500)
V (0.825, 0.325, 0.500)
V (0.325, 0.175, 0.500)

Results
As for the calculated volume: 10.98 Å³/atom. Its density of states at the Fermi level is 3.47 states/eV per cell. The excess energy over the best structure of this formula in the dataset comes out at 0.000 eV/atom. The total magnetization comes out at 0.00 Bohr magnetons per cell.

***

This record from Alexandria via LeMat-Bulk describes a geometry-optimized ZrNb2VB structure. The functional is GGA-PBE.

Cell lengths 4.353, 4.613, 4.353 Å; angles 90.00, 90.00, 90.00 degrees
Atoms (fractional coordinates):
Nb (0.000, 0.000, 0.500)
Nb (0.500, 0.000, 0.000)
B (0.000, 0.000, 0.000)
Zr (0.000, 0.500, 0.000)
V (0.500, 0.500, 0.500)

Results
As for the calculated volume: 17.49 Å³/atom. Its density of states at the Fermi level is 4.95 states/eV per cell. The calculation puts the total energy at -8.684 eV/atom. The total magnetization comes out at 0.00 Bohr magnetons per cell.

***

This record from Alexandria via LeMat-Bulk describes a geometry-optimized NbB2W4 structure. The functional is GGA-PBE.

Cell lengths 3.228, 4.211, 7.445 Å; angles 106.43, 90.00, 90.00 degrees
Atoms (fractional coordinates):
Nb (0.000, 0.000, 0.000)
B (0.500, 0.559, 0.119)
B (0.500, 0.441, 0.881)
W (0.500, 0.834, 0.669)
W (0.000, 0.673, 0.345)
W (0.500, 0.166, 0.331)
W (0.000, 0.327, 0.655)

Results
As for the calculated volume: 13.87 Å³/atom. Its density of states at the Fermi level is 3.33 states/eV per cell. The calculation puts the total energy at -10.779 eV/atom. The total magnetization comes out at 0.00 Bohr magnetons per cell.

***

This record from Alexandria via LeMat-Bulk describes a geometry-optimized Nb2B2W3 structure. The functional is GGA-PBE.

Cell lengths 3.230, 5.100, 6.216 Å; angles 96.91, 90.00, 108.46 degrees
Atoms (fractional coordinates):
Nb (0.629, 0.257, 0.363)
Nb (0.371, 0.743, 0.637)
B (0.059, 0.117, 0.626)
B (0.941, 0.883, 0.374)
W (0.318, 0.636, 0.161)
W (0.000, 0.000, 0.000)
W (0.682, 0.364, 0.839)

Results
As for the calculated volume: 13.76 Å³/atom. Its density of states at the Fermi level is 2.34 states/eV per cell. The calculation puts the total energy at -10.695 eV/atom. The total magnetization comes out at 0.00 Bohr magnetons per cell.

***

This record from Alexandria via LeMat-Bulk describes a geometry-optimized NbBW structure. The functional is GGA-PBE.

Cell lengths 4.529, 6.301, 5.960 Å; angles 98.52, 90.00, 90.00 degrees
Atoms (fractional coordinates):
W (0.250, 0.397, 0.127)
W (0.750, 0.103, 0.873)
W (0.750, 0.603, 0.873)
W (0.250, 0.897, 0.127)
B (0.250, 0.116, 0.876)
B (0.750, 0.384, 0.124)
B (0.750, 0.884, 0.124)
B (0.250, 0.616, 0.876)
Nb (0.250, 0.832, 0.608)
Nb (0.750, 0.668, 0.392)
Nb (0.750, 0.168, 0.392)
Nb (0.250, 0.332, 0.608)

Results
As for the calculated volume: 14.02 Å³/atom. Its density of states at the Fermi level is 3.75 states/eV per cell. The excess energy over the best structure of this formula in the dataset comes out at 0.334 eV/atom. The total magnetization comes out at 0.00 Bohr magnetons per cell.

***

This record from Alexandria via LeMat-Bulk describes a geometry-optimized NbBW3 structure. The functional is GGA-PBE.

Cell lengths 4.757, 4.757, 4.757 Å; angles 90.00, 90.00, 90.00 degrees
Atoms (fractional coordinates):
Nb (0.000, 0.000, 0.000)
B (0.500, 0.500, 0.500)
W (0.000, 0.500, 0.000)
W (0.000, 0.000, 0.500)
W (0.500, 0.000, 0.000)

Results
As for the calculated volume: 21.53 Å³/atom. Its density of states at the Fermi level is 4.89 states/eV per cell. The excess energy over the best structure of this formula in the dataset comes out at 2.988 eV/atom. The total magnetization comes out at 0.00 Bohr magnetons per cell.

***

This record from Alexandria via LeMat-Bulk describes a geometry-optimized NbB2W structure. The functional is GGA-PBE.

Cell lengths 4.921, 4.921, 6.064 Å; angles 66.06, 66.06, 90.00 degrees
Atoms (fractional coordinates):
Nb (0.500, 0.500, 0.000)
Nb (0.250, 0.750, 0.500)
B (0.642, 0.125, 0.250)
B (0.108, 0.625, 0.250)
B (0.375, 0.358, 0.750)
B (0.875, 0.892, 0.750)
W (0.000, 0.000, 0.000)
W (0.750, 0.250, 0.500)

Results
As for the calculated volume: 15.03 Å³/atom. Its density of states at the Fermi level is 6.64 states/eV per cell. The excess energy over the best structure of this formula in the dataset comes out at 1.300 eV/atom. The total magnetization comes out at 0.00 Bohr magnetons per cell.

***

This record from Alexandria via LeMat-Bulk describes a geometry-optimized NbB2W structure. The functional is GGA-PBE.

Cell lengths 4.022, 4.022, 4.022 Å; angles 60.00, 60.00, 60.00 degrees
Atoms (fractional coordinates):
Nb (0.000, 0.000, 0.000)
B (0.250, 0.250, 0.250)
B (0.750, 0.750, 0.750)
W (0.500, 0.500, 0.500)

Results
As for the calculated volume: 11.50 Å³/atom. Its density of states at the Fermi level is 2.17 states/eV per cell. The excess energy over the best structure of this formula in the dataset comes out at 0.866 eV/atom. The total magnetization comes out at 0.00 Bohr magnetons per cell.

***

This record from Alexandria via LeMat-Bulk describes a geometry-optimized NbBW structure. The functional is GGA-PBE.

Cell lengths 3.281, 3.193, 7.692 Å; angles 90.00, 102.32, 90.00 degrees
Atoms (fractional coordinates):
Nb (0.586, 0.750, 0.172)
Nb (0.414, 0.250, 0.828)
B (0.966, 0.750, 0.932)
B (0.034, 0.250, 0.068)
W (0.800, 0.750, 0.599)
W (0.200, 0.250, 0.401)

Results
As for the calculated volume: 13.12 Å³/atom. Its density of states at the Fermi level is 1.61 states/eV per cell. The excess energy over the best structure of this formula in the dataset comes out at 0.000 eV/atom. The total magnetization comes out at 0.00 Bohr magnetons per cell.